# 1
The following is a DFT calculation (PBE-GGA) of a geometry-optimized Pu2Be3GaPt4 structure.

Results
**ΔE_f**: -0.712 eV/atom
**SG**: P-4m2
**Crystal system**: tetragonal
**Total DFT energy (no corrections)**: -74.15 eV/cell

The structure in POSCAR format:
```
Pu2Be3GaPt4
1.0
4.0423 0.0000 0.0000
0.0000 4.0423 0.0000
0.0000 0.0000 10.0728
Pu Be Ga Pt
2 3 1 4
direct
0.0000 0.5000 0.2444
0.5000 0.0000 0.7556
0.0000 0.5000 0.8818
0.5000 0.0000 0.1182
0.5000 0.5000 0.5000
0.0000 0.0000 0.5000
0.0000 0.0000 0.0000
0.0000 0.5000 0.6473
0.5000 0.0000 0.3527
0.5000 0.5000 0.0000
```



# 2
The following is a DFT calculation (PBE-GGA) of a geometry-optimized PuBeGaPt2 structure.

Results
**ΔE_f**: -0.652 eV/atom
**SG**: I-4m2
**Crystal system**: tetragonal
**Total DFT energy (no corrections)**: -36.43 eV/cell

The structure in POSCAR format:
```
PuBeGaPt2
1.0
-1.9905 1.9905 5.6398
1.9905 -1.9905 5.6398
1.9905 1.9905 -5.6398
Pu Be Ga Pt
1 1 1 2
direct
0.0000 0.0000 0.0000
0.7500 0.2500 0.5000
0.2500 0.7500 0.5000
0.3798 0.3798 0.0000
0.6202 0.6202 0.0000
```



# 3
The following is a DFT calculation (PBE-GGA) of a geometry-optimized Pu2BeGa4Pt3 structure.

Results
**ΔE_f**: -0.599 eV/atom
**SG**: P-4m2
**Crystal system**: tetragonal
**Total DFT energy (no corrections)**: -68.61 eV/cell

The structure in POSCAR format:
```
Pu2BeGa4Pt3
1.0
4.1170 0.0000 0.0000
0.0000 4.1170 0.0000
0.0000 0.0000 10.9230
Pu Be Ga Pt
2 1 4 3
direct
0.0000 0.5000 0.2437
0.5000 0.0000 0.7563
0.5000 0.5000 0.0000
0.0000 0.0000 0.5000
0.0000 0.5000 0.8727
0.5000 0.0000 0.1273
0.5000 0.5000 0.5000
0.0000 0.0000 0.0000
0.0000 0.5000 0.6424
0.5000 0.0000 0.3576
```



Number 1: magnetic moment 10.88 Bohr magnetons per cell. Number 2: magnetic moment 5.55 Bohr magnetons per cell. Number 3: magnetic moment 10.61 Bohr magnetons per cell.